<i>
An optimized crystal structure of SmPa2Mo. Source: the Alexandria database, functional PBE-GGA.

The calculation puts the volume at 99.8 Å³ per cell. The density comes out at 11792 kg/m³.

The space group is P4/mmm (No. 123) and the conventional cell measures 3.410, 3.410 and 8.577 Å, with angles of 90.00, 90.00 and 90.00 degrees. The distinct sites, in fractional coordinates, are Sm at (0.000, 0.000, 0.000), Pa at (0.500, 0.500, 0.296) and Mo at (0.000, 0.000, 0.500).

<ii>
An optimized crystal structure of SmPa2Mo. Source: the Alexandria database, functional PBE-GGA.

The calculation puts the volume at 323.7 Å³ per cell. The density comes out at 10900 kg/m³.

The space group is R-3m (No. 166, hexagonal axes) and the conventional cell measures 3.7294, 3.7294 and 26.8766 Å, with angles of 90.00, 90.00 and 120.00 degrees. The distinct sites, in fractional coordinates, are Sm at (0.0000, 0.0000, 0.0000), Pa at (0.0000, 0.0000, 0.2301) and Mo at (0.0000, 0.0000, 0.5000).

Here is how they stack up, most stable first: <i>, <ii>.

<i>
An optimized crystal structure of TbPa2Mo. Source: the Alexandria database, functional PBE-GGA.

The calculation puts the volume at 318.6 Å³ per cell. The density comes out at 11211 kg/m³.

The space group is R-3m (No. 166, hexagonal axes) and the conventional cell measures 3.7069, 3.7069 and 26.7696 Å, with angles of 90.00, 90.00 and 120.00 degrees. The distinct sites, in fractional coordinates, are Tb at (0.0000, 0.0000, 0.0000), Pa at (0.0000, 0.0000, 0.2310) and Mo at (0.0000, 0.0000, 0.5000).

<ii>
An optimized crystal structure of TbPa2Mo. Source: the Alexandria database, functional PBE-GGA.

The calculation puts the volume at 98.5 Å³ per cell. The density comes out at 12089 kg/m³.

The space group is P4/mmm (No. 123) and the conventional cell measures 3.401, 3.401 and 8.516 Å, with angles of 90.00, 90.00 and 90.00 degrees. The distinct sites, in fractional coordinates, are Tb at (0.000, 0.000, 0.000), Pa at (0.500, 0.500, 0.294) and Mo at (0.000, 0.000, 0.500).

Here is how they stack up, most stable first: <ii>, <i>.

<i>
An optimized crystal structure of PaTcMo. Source: the Alexandria database, functional PBE-GGA.

The calculation puts the volume at 221.3 Å³ per cell. The density comes out at 12758 kg/m³.

The space group is Pnma (No. 62) and the conventional cell measures 5.518, 4.712 and 8.510 Å, with angles of 90.00, 90.00 and 90.00 degrees. The distinct sites, in fractional coordinates, are Pa at (0.183, 0.250, 0.106), Tc at (0.178, 0.250, 0.444) and Mo at (0.013, 0.250, 0.758).

<ii>
An optimized crystal structure of PaTcMo. Source: the Alexandria database, functional PBE-GGA.

The calculation puts the volume at 60.8 Å³ per cell. The density comes out at 11604 kg/m³.

The space group is P3m1 (No. 156) and the conventional cell measures 4.1482, 4.1482 and 4.0807 Å, with angles of 90.00, 90.00 and 120.00 degrees. The distinct sites, in fractional coordinates, are Pa at (0.0000, 0.0000, 0.0000), Tc at (0.6667, 0.3333, 0.4019) and Mo at (0.3333, 0.6667, 0.5761).

Here is how they stack up, most stable first: <i>, <ii>.

<i>
An optimized crystal structure of PaTc2Mo. Source: the Alexandria database, functional PBE-GGA.

The calculation puts the volume at 70.3 Å³ per cell. The density comes out at 12358 kg/m³.

The space group is P4/mmm (No. 123) and the conventional cell measures 3.110, 3.110 and 7.264 Å, with angles of 90.00, 90.00 and 90.00 degrees. The distinct sites, in fractional coordinates, are Pa at (0.000, 0.000, 0.000), Tc at (0.500, 0.500, 0.290) and Mo at (0.000, 0.000, 0.500).

<ii>
An optimized crystal structure of PaTc2Mo. Source: the Alexandria database, functional PBE-GGA.

The calculation puts the volume at 217.4 Å³ per cell. The density comes out at 11981 kg/m³.

The space group is R-3m (No. 166, hexagonal axes) and the conventional cell measures 2.8773, 2.8773 and 30.3282 Å, with angles of 90.00, 90.00 and 120.00 degrees. The distinct sites, in fractional coordinates, are Pa at (0.0000, 0.0000, 0.0000), Tc at (0.0000, 0.0000, 0.4216) and Mo at (0.0000, 0.0000, 0.5000).

Here is how they stack up, most stable first: <i>, <ii>.

<i>
An optimized crystal structure of PaTiMo. Source: the Alexandria database, functional PBE-GGA.

The calculation puts the volume at 55.9 Å³ per cell. The density comes out at 11132 kg/m³.

The space group is P3m1 (No. 156) and the conventional cell measures 4.5977, 4.5977 and 3.0544 Å, with angles of 90.00, 90.00 and 120.00 degrees. The distinct sites, in fractional coordinates, are Pa at (0.0000, 0.0000, 0.0000), Ti at (0.3333, 0.6667, 0.3827) and Mo at (0.6667, 0.3333, 0.7393).

<ii>
An optimized crystal structure of PaTiMo. Source: the Alexandria database, functional PBE-GGA.

The calculation puts the volume at 226.5 Å³ per cell. The density comes out at 10993 kg/m³.

The space group is Amm2 (No. 38) and the conventional cell measures 13.671, 3.223 and 5.140 Å, with angles of 90.00, 90.00 and 90.00 degrees. The distinct sites, in fractional coordinates, are Pa at (0.171, 0.000, 0.000), Ti at (0.355, 0.000, 0.499), Mo at (0.000, 0.000, 0.500) and Mo at (0.500, 0.000, 0.999).

Here is how they stack up, most stable first: <i>, <ii>.

<i>
An optimized crystal structure of Pa2TlMo. Source: the Alexandria database, functional PBE-GGA.

The calculation puts the volume at 324.2 Å³ per cell. The density comes out at 11714 kg/m³.

The space group is R-3m (No. 166, hexagonal axes) and the conventional cell measures 3.9494, 3.9494 and 24.0032 Å, with angles of 90.00, 90.00 and 120.00 degrees. The distinct sites, in fractional coordinates, are Pa at (0.0000, 0.0000, 0.2304), Tl at (0.0000, 0.0000, 0.0000) and Mo at (0.0000, 0.0000, 0.5000).

<ii>
An optimized crystal structure of Pa2TlMo. Source: the Alexandria database, functional PBE-GGA.

The calculation puts the volume at 95.4 Å³ per cell. The density comes out at 13264 kg/m³.

The space group is P4/mmm (No. 123) and the conventional cell measures 3.273, 3.273 and 8.909 Å, with angles of 90.00, 90.00 and 90.00 degrees. The distinct sites, in fractional coordinates, are Pa at (0.000, 0.000, 0.207), Tl at (0.500, 0.500, 0.500) and Mo at (0.500, 0.500, 0.000).

Here is how they stack up, most stable first: <ii>, <i>.

<i>
An optimized crystal structure of UPa2Mo. Source: the Alexandria database, functional PBE-GGA.

The calculation puts the volume at 85.6 Å³ per cell. The density comes out at 15439 kg/m³.

The space group is P4/mmm (No. 123) and the conventional cell measures 3.468, 3.468 and 7.120 Å, with angles of 90.00, 90.00 and 90.00 degrees. The distinct sites, in fractional coordinates, are U at (0.000, 0.000, 0.000), Pa at (0.500, 0.500, 0.255) and Mo at (0.000, 0.000, 0.500).

<ii>
An optimized crystal structure of UPa2Mo. Source: the Alexandria database, functional PBE-GGA.

The calculation puts the volume at 340.2 Å³ per cell. The density comes out at 15544 kg/m³.

The space group is Fm-3m (No. 225) and the conventional cell measures 6.981, 6.981 and 6.981 Å, with angles of 90.00, 90.00 and 90.00 degrees. The distinct sites, in fractional coordinates, are U at (0.000, 0.000, 0.000), Pa at (0.250, 0.250, 0.250) and Mo at (0.000, 0.000, 0.500).

Here is how they stack up, most stable first: <i>, <ii>.

<i>
An optimized crystal structure of PaV2Mo. Source: the Alexandria database, functional PBE-GGA.

The calculation puts the volume at 263.4 Å³ per cell. The density comes out at 10816 kg/m³.

The space group is Fm-3m (No. 225) and the conventional cell measures 6.410, 6.410 and 6.410 Å, with angles of 90.00, 90.00 and 90.00 degrees. The distinct sites, in fractional coordinates, are Pa at (0.000, 0.000, 0.000), V at (0.250, 0.250, 0.250) and Mo at (0.000, 0.000, 0.500).

<ii>
An optimized crystal structure of PaV2Mo. Source: the Alexandria database, functional PBE-GGA.

The calculation puts the volume at 66.6 Å³ per cell. The density comes out at 10700 kg/m³.

The space group is P4/mmm (No. 123) and the conventional cell measures 4.569, 4.569 and 3.188 Å, with angles of 90.00, 90.00 and 90.00 degrees. The distinct sites, in fractional coordinates, are Pa at (0.000, 0.000, 0.000), V at (0.000, 0.500, 0.500) and Mo at (0.500, 0.500, 0.000).

Here is how they stack up, most stable first: <i>, <ii>.

<i>
An optimized crystal structure of PaV2Mo. Source: the Alexandria database, functional PBE-GGA.

The calculation puts the volume at 66.6 Å³ per cell. The density comes out at 10688 kg/m³.

The space group is P4/mmm (No. 123) and the conventional cell measures 3.221, 3.221 and 6.423 Å, with angles of 90.00, 90.00 and 90.00 degrees. The distinct sites, in fractional coordinates, are Pa at (0.000, 0.000, 0.000), V at (0.500, 0.500, 0.266) and Mo at (0.000, 0.000, 0.500).

<ii>
An optimized crystal structure of PaV2Mo. Source: the Alexandria database, functional PBE-GGA.

The calculation puts the volume at 209.5 Å³ per cell. The density comes out at 10200 kg/m³.

The space group is R-3m (No. 166, hexagonal axes) and the conventional cell measures 2.9962, 2.9962 and 26.9413 Å, with angles of 90.00, 90.00 and 120.00 degrees. The distinct sites, in fractional coordinates, are Pa at (0.0000, 0.0000, 0.0000), V at (0.0000, 0.0000, 0.2372) and Mo at (0.0000, 0.0000, 0.5000).

Here is how they stack up, most stable first: <i>, <ii>.

<i>
An optimized crystal structure of PaMo2W. Source: the Alexandria database, functional PBE-GGA.

The calculation puts the volume at 72.3 Å³ per cell. The density comes out at 13942 kg/m³.

The space group is P4/mmm (No. 123) and the conventional cell measures 3.306, 3.306 and 6.610 Å, with angles of 90.00, 90.00 and 90.00 degrees. The distinct sites, in fractional coordinates, are Pa at (0.000, 0.000, 0.000), Mo at (0.500, 0.500, 0.264) and W at (0.000, 0.000, 0.500).

<ii>
An optimized crystal structure of PaMo2W. Source: the Alexandria database, functional PBE-GGA.

The calculation puts the volume at 286.9 Å³ per cell. The density comes out at 14045 kg/m³.

The space group is Fm-3m (No. 225) and the conventional cell measures 6.596, 6.596 and 6.596 Å, with angles of 90.00, 90.00 and 90.00 degrees. The distinct sites, in fractional coordinates, are Pa at (0.000, 0.000, 0.000), Mo at (0.250, 0.250, 0.250) and W at (0.000, 0.000, 0.500).

Here is how they stack up, most stable first: <ii>, <i>.

<i>
An optimized crystal structure of PaZnMo. Source: the Alexandria database, functional PBE-GGA.

The calculation puts the volume at 57.7 Å³ per cell. The density comes out at 11295 kg/m³.

The space group is P-6m2 (No. 187) and the conventional cell measures 4.8390, 4.8390 and 2.8446 Å, with angles of 90.00, 90.00 and 120.00 degrees. The distinct sites, in fractional coordinates, are Pa at (0.0000, 0.0000, 0.0000), Zn at (0.3333, 0.6667, 0.5000) and Mo at (0.6667, 0.3333, 0.5000).

<ii>
An optimized crystal structure of PaZnMo. Source: the Alexandria database, functional PBE-GGA.

The calculation puts the volume at 110.1 Å³ per cell. The density comes out at 11841 kg/m³.

The space group is P4/nmm (No. 129, origin choice 2) and the conventional cell measures 3.418, 3.418 and 9.423 Å, with angles of 90.00, 90.00 and 90.00 degrees. The distinct sites, in fractional coordinates, are Pa at (0.250, 0.250, 0.102), Zn at (0.250, 0.250, 0.424) and Mo at (0.250, 0.250, 0.734).

Here is how they stack up, most stable first: <ii>, <i>.

<i>
An optimized crystal structure of PaZn2Mo. Source: the Alexandria database, functional PBE-GGA.

The calculation puts the volume at 294.1 Å³ per cell. The density comes out at 10339 kg/m³.

The space group is Fm-3m (No. 225) and the conventional cell measures 6.650, 6.650 and 6.650 Å, with angles of 90.00, 90.00 and 90.00 degrees. The distinct sites, in fractional coordinates, are Pa at (0.000, 0.000, 0.000), Zn at (0.250, 0.250, 0.250) and Mo at (0.000, 0.000, 0.500).

<ii>
An optimized crystal structure of PaZn2Mo. Source: the Alexandria database, functional PBE-GGA.

The calculation puts the volume at 147.5 Å³ per cell. The density comes out at 10305 kg/m³.

The space group is P2_1/m (No. 11) and the conventional cell measures 4.833, 6.351 and 5.028 Å, with angles of 90.00, 107.07 and 90.00 degrees. The distinct sites, in fractional coordinates, are Pa at (0.045, 0.250, 0.142), Zn at (0.427, 0.050, 0.732) and Mo at (0.096, 0.750, 0.378).

Here is how they stack up, most stable first: <ii>, <i>.